! TlPS3, relaxed, DFT PBE; values from VASP
! **Calculated volume**: 20.18 A^3/atom
! **Raw formation energy**: 21.2 kJ per mole of atoms
! **Total moment**: 0.0 μB per formula unit
! **Space group**: Pm-3m, No. 221
! **Uncorrected energy**: -3.812 eV per atom
! **Fermi-level density of states**: 6.5 states/eV/f.u.
&SYSTEM
  ibrav = 0, nat = 5, ntyp = 3
/
ATOMIC_SPECIES
Tl 204.38 Tl.upf
P 30.97 P.upf
S 32.06 S.upf
ATOMIC_POSITIONS crystal
Tl 0.000 0.000 0.000
P 0.500 0.500 0.500
S 0.000 0.500 0.500
S 0.500 0.000 0.500
S 0.500 0.500 0.000
CELL_PARAMETERS angstrom
4.655 0.000 0.000
0.000 4.655 0.000
0.000 0.000 4.655